Record 1
# Mg2HgMo | the Alexandria database | PBE | optimized geometry
data_Mg2HgMo
_symmetry_space_group_name_H-M 'I m m m'
_symmetry_Int_Tables_number 71
_symmetry_space_group_name_Hall '-I 2 2'
_cell_length_a 3.080
_cell_length_b 5.018
_cell_length_c 9.710
_cell_angle_alpha 90.00
_cell_angle_beta 90.00
_cell_angle_gamma 90.00
loop_
_atom_site_label
_atom_site_type_symbol
_atom_site_fract_x
_atom_site_fract_y
_atom_site_fract_z
Mg1 Mg 0.000 0.000 0.248
Hg1 Hg 0.000 0.500 0.500
Mo1 Mo 0.000 0.500 0.000
# V (Å³/f.u.): 75
# Energy of formation from the pure elements (eV per atom): 0.3055

Record 2
# MgHgMo2 | the Alexandria database | PBE | optimized geometry
data_MgHgMo2
_symmetry_space_group_name_H-M 'R -3 m'
_symmetry_Int_Tables_number 166
_symmetry_space_group_name_Hall '-R 3 2"'
_cell_length_a 2.9104
_cell_length_b 2.9104
_cell_length_c 29.3144
_cell_angle_alpha 90.00
_cell_angle_beta 90.00
_cell_angle_gamma 120.00
loop_
_atom_site_label
_atom_site_type_symbol
_atom_site_fract_x
_atom_site_fract_y
_atom_site_fract_z
Mg1 Mg 0.0000 0.0000 0.0000
Hg1 Hg 0.0000 0.0000 0.5000
Mo1 Mo 0.0000 0.0000 0.2503
# V (Å³/f.u.): 72
# Energy of formation from the pure elements (eV per atom): 0.6011

Record 3
# MgHgMo2 | the Alexandria database | PBE | optimized geometry
data_MgHgMo2
_symmetry_space_group_name_H-M 'P 4 m m'
_symmetry_Int_Tables_number 99
_cell_length_a 3.309
_cell_length_b 3.309
_cell_length_c 6.630
_cell_angle_alpha 90.00
_cell_angle_beta 90.00
_cell_angle_gamma 90.00
loop_
_symmetry_equiv_pos_as_xyz
'x,y,z'
'-y,x,z'
'-x,-y,z'
'y,-x,z'
'-x,y,z'
'y,x,z'
'x,-y,z'
'-y,-x,z'
loop_
_atom_site_label
_atom_site_type_symbol
_atom_site_fract_x
_atom_site_fract_y
_atom_site_fract_z
Mg1 Mg 0.000 0.000 0.000
Hg1 Hg 0.500 0.500 0.744
Mo1 Mo 0.000 0.000 0.449
Mo2 Mo 0.500 0.500 0.274
# V (Å³/f.u.): 73
# Energy of formation from the pure elements (eV per atom): 0.2061

| no. | size of the total moment (μB/atom) |
| --- | --- |
| 1 | 0.0004 |
| 2 | 0.0001 |
| 3 | 0.0000 |